An optimized crystal structure of YRu3Br, computed with PBE-GGA.

Raw formation energy (eV per atom): 2.02
DOS(E_F) (states/eV/f.u.): 6.24
Energy relative to the lowest polymorph listed for this composition (eV/atom): 1.218

POSCAR file:
```
YRu3Br
1.0
-3.792 2.605 2.073
-1.159 -3.978 2.880
3.121 1.688 3.588
Y Ru Br
1 3 1
direct
0.000 0.000 0.000
0.000 0.500 0.000
0.000 0.000 0.500
0.500 0.000 0.000
0.500 0.500 0.500
```